Computed, not measured: Fe3Pd4Rh after structural relaxation at the PBE-GGA level of DFT.

## Properties
Calculated total energy   -6.732 eV/atom
Crystal system   orthorhombic

Unit cell a=8.8412 b=5.4405 c=4.7251 alpha=90.00 beta=90.00 gamma=90.00
Closest atoms and distances in Å follow each position.
Space group Pmma (No. 51)
Inequivalent atoms, fractional coordinates:
Fe (0.0000, 0.0000, 0.0000) [2 per cell]  2 Fe 2.70, 8 Pd 2.70-2.72, 2 Rh 2.72
Fe (0.2500, 0.0000, 0.3281) [2 per cell]  8 Pd 2.69-2.76, 4 Fe 2.70-2.72
Fe (0.2500, 0.5000, 0.3224) [2 per cell]  8 Pd 2.67-2.79, 2 Rh 2.68, 2 Fe 2.72
Pd (0.0000, 0.2474, 0.5000) [4 per cell]  4 Pd 2.69-2.75, 6 Fe 2.71-2.73, 2 Rh 2.73
Pd (0.2500, 0.2489, 0.8370) [4 per cell]  6 Fe 2.67-2.79, 4 Pd 2.71-2.73, 2 Rh 2.71
Rh (0.0000, 0.5000, 0.0000) [2 per cell]  4 Fe 2.68-2.72, 8 Pd 2.71-2.73